1.
## Be2TlBAu (PBEsol)

Data for a relaxed structure of Be2TlBAu.

For the energy of formation, the calculation gives 2.61 eV/f.u. For the density of states at the Fermi level, the calculation gives 1.50 states/eV/f.u. Its crystal system is tetragonal.

The structure in CIF format:
```
data_Be2TlBAu
_chemical_formula_sum 'Be2 Tl1 B1 Au1'
_symmetry_space_group_name_H-M 'P 4/m m m'
_symmetry_Int_Tables_number 123
_symmetry_space_group_name_Hall '-P 4 2'
_cell_length_a 3.828
_cell_length_b 3.828
_cell_length_c 5.184
_cell_angle_alpha 90.00
_cell_angle_beta 90.00
_cell_angle_gamma 90.00
loop_
_atom_site_label
_atom_site_type_symbol
_atom_site_fract_x
_atom_site_fract_y
_atom_site_fract_z
_atom_site_occupancy
Be1 Be 0.000 0.500 0.000 1
Tl1 Tl 0.000 0.000 0.500 1
B1 B 0.000 0.000 0.000 1
Au1 Au 0.500 0.500 0.500 1
```

=====

2.
## Be2SbAu2 (PBEsol)

Data for a relaxed structure of Be2SbAu2.

For the density of states at the Fermi level, the calculation gives 1.87 states/eV/f.u. Its crystal system is tetragonal. For the energy relative to the elements, uncorrected, the calculation gives -1.52 kcal/mol of atoms. The polymorph energy (0 for the lowest one) is 0.00 eV per formula unit.

The structure in CIF format:
```
data_Be2SbAu2
_chemical_formula_sum 'Be4 Sb2 Au4'
_symmetry_space_group_name_H-M 'I 4/m m m'
_symmetry_Int_Tables_number 139
_symmetry_space_group_name_Hall '-I 4 2'
_cell_length_a 3.591
_cell_length_b 3.591
_cell_length_c 12.314
_cell_angle_alpha 90.00
_cell_angle_beta 90.00
_cell_angle_gamma 90.00
loop_
_atom_site_label
_atom_site_type_symbol
_atom_site_fract_x
_atom_site_fract_y
_atom_site_fract_z
_atom_site_occupancy
Be1 Be 0.000 0.500 0.250 1
Sb1 Sb 0.000 0.000 0.000 1
Au1 Au 0.000 0.000 0.373 1
```

=====

3.
## LaMoOsSe2 (PBEsol)

Data for a relaxed structure of LaMoOsSe2.

For the density of states at the Fermi level, the calculation gives 3.15 states/eV/f.u. Its crystal system is tetragonal. For the energy relative to the elements, uncorrected, the calculation gives -0.24 kcal/mol of atoms.

The structure in CIF format:
```
data_LaMoOsSe2
_chemical_formula_sum 'La1 Mo1 Os1 Se2'
_symmetry_space_group_name_H-M 'P 4/m m m'
_symmetry_Int_Tables_number 123
_symmetry_space_group_name_Hall '-P 4 2'
_cell_length_a 4.843
_cell_length_b 4.843
_cell_length_c 4.754
_cell_angle_alpha 90.00
_cell_angle_beta 90.00
_cell_angle_gamma 90.00
loop_
_atom_site_label
_atom_site_type_symbol
_atom_site_fract_x
_atom_site_fract_y
_atom_site_fract_z
_atom_site_occupancy
La1 La 0.000 0.000 0.000 1
Mo1 Mo 0.500 0.500 0.500 1
Os1 Os 0.500 0.500 0.000 1
Se1 Se 0.000 0.500 0.500 1
```

=====

4.
## GaNi2HPb (PBEsol)

Data for a relaxed structure of GaNi2HPb.

For the density of states at the Fermi level, the calculation gives 2.78 states/eV/f.u. Its crystal system is tetragonal. The total energy comes out at -20.91 eV for the cell shown.

The structure in CIF format:
```
data_GaNi2HPb
_chemical_formula_sum 'Ga1 Ni2 H1 Pb1'
_symmetry_space_group_name_H-M 'P 4/m m m'
_symmetry_Int_Tables_number 123
_symmetry_space_group_name_Hall '-P 4 2'
_cell_length_a 4.579
_cell_length_b 4.579
_cell_length_c 3.348
_cell_angle_alpha 90.00
_cell_angle_beta 90.00
_cell_angle_gamma 90.00
loop_
_atom_site_label
_atom_site_type_symbol
_atom_site_fract_x
_atom_site_fract_y
_atom_site_fract_z
_atom_site_occupancy
Ga1 Ga 0.000 0.000 0.000 1
Ni1 Ni 0.000 0.500 0.000 1
H1 H 0.000 0.000 0.500 1
Pb1 Pb 0.500 0.500 0.500 1
```

=====

5.
## NaTlBi2 (PBEsol)

Data for a relaxed structure of NaTlBi2.

For the energy of formation, the calculation gives -0.04 eV/f.u. For the density of states at the Fermi level, the calculation gives 3.75 states/eV/f.u. Its crystal system is cubic. The polymorph energy (0 for the lowest one) is 0.07 eV per formula unit.

The structure in CIF format:
```
data_NaTlBi2
_chemical_formula_sum 'Na4 Tl4 Bi8'
_symmetry_space_group_name_H-M 'F m -3 m'
_symmetry_Int_Tables_number 225
_symmetry_space_group_name_Hall '-F 4 2 3'
_cell_length_a 7.720
_cell_length_b 7.720
_cell_length_c 7.720
_cell_angle_alpha 90.00
_cell_angle_beta 90.00
_cell_angle_gamma 90.00
loop_
_atom_site_label
_atom_site_type_symbol
_atom_site_fract_x
_atom_site_fract_y
_atom_site_fract_z
_atom_site_occupancy
Na1 Na 0.000 0.000 0.000 1
Tl1 Tl 0.000 0.000 0.500 1
Bi1 Bi 0.250 0.250 0.250 1
```

=====

6.
## Be2CuAu (PBEsol)

Data for a relaxed structure of Be2CuAu.

For the energy of formation, the calculation gives -0.33 eV/f.u. For the density of states at the Fermi level, the calculation gives 1.03 states/eV/f.u. Its crystal system is orthorhombic.

The structure in CIF format:
```
data_Be2CuAu
_chemical_formula_sum 'Be4 Cu2 Au2'
_symmetry_space_group_name_H-M 'A m m 2'
_symmetry_Int_Tables_number 38
_symmetry_space_group_name_Hall 'A 2 -2'
_cell_length_a 3.726
_cell_length_b 2.707
_cell_length_c 8.860
_cell_angle_alpha 90.00
_cell_angle_beta 90.00
_cell_angle_gamma 90.00
loop_
_atom_site_label
_atom_site_type_symbol
_atom_site_fract_x
_atom_site_fract_y
_atom_site_fract_z
_atom_site_occupancy
Be1 Be 0.000 0.000 0.000 1
Be2 Be 0.500 0.000 0.140 1
Cu1 Cu 0.500 0.000 0.422 1
Au1 Au 0.000 0.000 0.734 1
```

=====

7.
## Li4Ti2Nb3Cu3O16 (PBEsol)

Data for a relaxed structure of Li4Ti2Nb3Cu3O16.

For the density of states at the Fermi level, the calculation gives 5.09 states/eV/f.u. Its crystal system is monoclinic. For the energy relative to the elements, uncorrected, the calculation gives -48.46 kcal/mol of atoms.

The structure in CIF format:
```
data_Li4Ti2Nb3Cu3O16
_chemical_formula_sum 'Li8 Ti4 Nb6 Cu6 O32'
_symmetry_space_group_name_H-M 'C 1 m 1'
_symmetry_Int_Tables_number 8
_symmetry_space_group_name_Hall 'C -2y'
_cell_length_a 10.609
_cell_length_b 5.938
_cell_length_c 9.563
_cell_angle_alpha 90.00
_cell_angle_beta 92.41
_cell_angle_gamma 90.00
loop_
_atom_site_label
_atom_site_type_symbol
_atom_site_fract_x
_atom_site_fract_y
_atom_site_fract_z
_atom_site_occupancy
Li1 Li 0.000 0.000 0.000 1
Li2 Li 0.057 0.500 0.549 1
Li3 Li 0.173 0.500 0.095 1
Li4 Li 0.310 0.000 0.473 1
Ti1 Ti 0.021 0.000 0.578 1
Ti2 Ti 0.346 0.000 0.098 1
Nb1 Nb 0.258 0.249 0.802 1
Nb2 Nb 0.340 0.500 0.328 1
Cu1 Cu 0.081 0.244 0.295 1
Cu2 Cu 0.494 0.000 0.824 1
O1 O 0.007 0.500 0.177 1
O2 O 0.085 0.246 0.687 1
O3 O 0.133 0.000 0.437 1
O4 O 0.164 0.500 0.390 1
O5 O 0.176 0.500 0.903 1
O6 O 0.189 0.000 0.925 1
O7 O 0.275 0.248 0.186 1
O8 O 0.308 0.000 0.676 1
O9 O 0.340 0.500 0.700 1
O10 O 0.399 0.228 0.937 1
O11 O 0.411 0.278 0.459 1
O12 O 0.492 0.500 0.203 1
```

=====

8.
## TaMn3Rh (PBEsol)

Data for a relaxed structure of TaMn3Rh.

For the energy of formation, the calculation gives 7.45 eV/f.u. For the density of states at the Fermi level, the calculation gives 7.65 states/eV/f.u. Its crystal system is cubic. The polymorph energy (0 for the lowest one) is 0.00 eV per formula unit.

The structure in CIF format:
```
data_TaMn3Rh
_chemical_formula_sum 'Ta1 Mn3 Rh1'
_symmetry_space_group_name_H-M 'P m -3 m'
_symmetry_Int_Tables_number 221
_symmetry_space_group_name_Hall '-P 4 2 3'
_cell_length_a 4.486
_cell_length_b 4.486
_cell_length_c 4.486
_cell_angle_alpha 90.00
_cell_angle_beta 90.00
_cell_angle_gamma 90.00
loop_
_atom_site_label
_atom_site_type_symbol
_atom_site_fract_x
_atom_site_fract_y
_atom_site_fract_z
_atom_site_occupancy
Ta1 Ta 0.000 0.000 0.000 1
Mn1 Mn 0.000 0.500 0.500 1
Rh1 Rh 0.500 0.500 0.500 1
```

=====

9.
## Li2CaTa2O7 (PBEsol)

Data for a relaxed structure of Li2CaTa2O7.

For the density of states at the Fermi level, the calculation gives 0.00 states/eV/f.u. Its crystal system is orthorhombic. For the energy relative to the elements, uncorrected, the calculation gives -65.14 kcal/mol of atoms. The polymorph energy (0 for the lowest one) is 0.00 eV per formula unit.

The structure in CIF format:
```
data_Li2CaTa2O7
_chemical_formula_sum 'Li8 Ca4 Ta8 O28'
_symmetry_space_group_name_H-M 'P n m a'
_symmetry_Int_Tables_number 62
_symmetry_space_group_name_Hall '-P 2ac 2n'
_cell_length_a 5.511
_cell_length_b 18.163
_cell_length_c 5.437
_cell_angle_alpha 90.00
_cell_angle_beta 90.00
_cell_angle_gamma 90.00
loop_
_atom_site_label
_atom_site_type_symbol
_atom_site_fract_x
_atom_site_fract_y
_atom_site_fract_z
_atom_site_occupancy
Li1 Li 0.009 0.013 0.248 1
Ca1 Ca 0.204 0.250 0.998 1
Ta1 Ta 0.241 0.138 0.501 1
O1 O 0.032 0.665 0.283 1
O2 O 0.043 0.132 0.206 1
O3 O 0.228 0.750 0.920 1
O4 O 0.243 0.036 0.549 1
```

=====

10.
## NiTeRu (PBEsol)

Data for a relaxed structure of NiTeRu.

For the density of states at the Fermi level, the calculation gives 4.42 states/eV/f.u. Its crystal system is tetragonal. For the energy relative to the elements, uncorrected, the calculation gives 6.16 kcal/mol of atoms. The polymorph energy (0 for the lowest one) is 0.28 eV per formula unit.

The structure in CIF format:
```
data_NiTeRu
_chemical_formula_sum 'Ni2 Te2 Ru2'
_symmetry_space_group_name_H-M 'I 4 m m'
_symmetry_Int_Tables_number 107
_symmetry_space_group_name_Hall 'I 4 -2'
_cell_length_a 3.235
_cell_length_b 3.235
_cell_length_c 8.477
_cell_angle_alpha 90.00
_cell_angle_beta 90.00
_cell_angle_gamma 90.00
loop_
_atom_site_label
_atom_site_type_symbol
_atom_site_fract_x
_atom_site_fract_y
_atom_site_fract_z
_atom_site_occupancy
Ni1 Ni 0.000 0.000 0.000 1
Te1 Te 0.000 0.000 0.651 1
Ru1 Ru 0.000 0.000 0.325 1
```

=====

11.
## NaCaAg3 (PBEsol)

Data for a relaxed structure of NaCaAg3.

For the energy of formation, the calculation gives 2.11 eV/f.u. For the density of states at the Fermi level, the calculation gives 1.75 states/eV/f.u. Its crystal system is cubic.

The structure in CIF format:
```
data_NaCaAg3
_chemical_formula_sum 'Na1 Ca1 Ag3'
_symmetry_space_group_name_H-M 'P m -3 m'
_symmetry_Int_Tables_number 221
_symmetry_space_group_name_Hall '-P 4 2 3'
_cell_length_a 4.958
_cell_length_b 4.958
_cell_length_c 4.958
_cell_angle_alpha 90.00
_cell_angle_beta 90.00
_cell_angle_gamma 90.00
loop_
_atom_site_label
_atom_site_type_symbol
_atom_site_fract_x
_atom_site_fract_y
_atom_site_fract_z
_atom_site_occupancy
Na1 Na 0.000 0.000 0.000 1
Ca1 Ca 0.500 0.500 0.500 1
Ag1 Ag 0.000 0.000 0.500 1
```

=====

12.
## TcOsRh2 (PBEsol)

Data for a relaxed structure of TcOsRh2.

For the energy of formation, the calculation gives -0.03 eV/f.u. For the density of states at the Fermi level, the calculation gives 3.64 states/eV/f.u. Its crystal system is tetragonal. The polymorph energy (0 for the lowest one) is 0.33 eV per formula unit.

The structure in CIF format:
```
data_TcOsRh2
_chemical_formula_sum 'Tc2 Os2 Rh4'
_symmetry_space_group_name_H-M 'I 4/m m m'
_symmetry_Int_Tables_number 139
_symmetry_space_group_name_Hall '-I 4 2'
_cell_length_a 3.760
_cell_length_b 3.760
_cell_length_c 7.715
_cell_angle_alpha 90.00
_cell_angle_beta 90.00
_cell_angle_gamma 90.00
loop_
_atom_site_label
_atom_site_type_symbol
_atom_site_fract_x
_atom_site_fract_y
_atom_site_fract_z
_atom_site_occupancy
Tc1 Tc 0.000 0.000 0.000 1
Os1 Os 0.000 0.000 0.500 1
Rh1 Rh 0.000 0.500 0.250 1
```